No. 1
The following is a SCAN calculation of La5As3 at its PBEsol-relaxed geometry, from the Alexandria database.

energy above the most stable polymorph in this dataset	0.147	eV/atom
formation energy from the elements	-1.102	eV/atom
DOS(E_F)	7.13	states/eV per cell
E_tot	-284.91	eV for the cell shown

Structure (POSCAR):
```
La5As3
1.0
4.718 0.000 0.000
0.000 6.895 0.053
0.000 -2.088 6.571
As La
3 5
Direct
0.000 0.500 0.500
0.500 0.806 0.194
0.500 0.194 0.806
0.000 0.000 0.000
0.000 0.000 0.500
0.000 0.500 0.000
0.500 0.281 0.281
0.500 0.719 0.719
```

No. 2
The following is a SCAN calculation of TaZn2Rh at its PBEsol-relaxed geometry, from the Alexandria database.

formation energy from the elements	-0.157	eV/atom
DOS(E_F)	2.42	states/eV per cell
E_tot	-128.01	eV for the cell shown

Structure (POSCAR):
```
TaZn2Rh
1.0
2.808 0.000 0.000
-1.404 4.506 0.000
0.000 -0.972 4.628
Rh Ta Zn
1 1 2
Direct
0.000 0.000 0.500
0.500 0.000 0.000
0.744 0.487 0.733
0.256 0.513 0.267
```

No. 3
The following is a SCAN calculation of LaZn4Ni at its PBEsol-relaxed geometry, from the Alexandria database.

formation energy from the elements	-0.368	eV/atom
DOS(E_F)	3.19	states/eV per cell
E_tot	-115.55	eV for the cell shown

Structure (POSCAR):
```
LaZn4Ni
1.0
4.176 0.000 0.000
0.000 5.234 0.000
0.000 -2.617 4.532
La Zn Ni
1 4 1
Direct
0.000 0.000 0.000
0.000 0.333 0.667
0.500 0.992 0.496
0.500 0.504 0.008
0.500 0.504 0.496
0.000 0.667 0.333
```

No. 4
The following is a SCAN calculation of ZrCr2Tc at its PBEsol-relaxed geometry, from the Alexandria database.

energy above the most stable polymorph in this dataset	0.330	eV/atom
formation energy from the elements	0.292	eV/atom
DOS(E_F)	2.93	states/eV per cell
E_tot	-101.36	eV for the cell shown

Structure (POSCAR):
```
ZrCr2Tc
1.0
-1.520 -1.119 -1.919
-0.573 -1.016 2.426
-5.842 5.996 1.131
Cr Tc Zr
2 1 1
Direct
0.000 0.000 0.271
0.000 0.000 0.729
0.500 0.500 0.500
0.500 0.500 0.000
```

No. 5
The following is a SCAN calculation of LiFeSi3O8 at its PBEsol-relaxed geometry, from the Alexandria database.

energy above the most stable polymorph in this dataset	0.000	eV/atom
DOS(E_F)	0.00	states/eV per cell
E_form (uncorrected)	-2686	meV/atom
E_tot	-270.68	eV for the cell shown

Structure (POSCAR):
```
LiFeSi3O8
1.0
7.285 0.889 -0.390
-0.238 7.115 -0.160
-3.113 -4.428 6.384
Li Fe Si O
2 2 6 16
Direct
0.302 0.078 0.247
0.698 0.922 0.753
0.151 0.040 0.848
0.849 0.960 0.152
0.186 0.562 0.820
0.785 0.166 0.549
0.572 0.487 0.770
0.428 0.513 0.230
0.215 0.834 0.451
0.814 0.438 0.180
0.150 0.818 0.899
0.572 0.266 0.553
0.311 0.556 0.036
0.870 0.060 0.696
0.699 0.723 0.852
0.963 0.378 0.649
0.325 0.489 0.699
0.709 0.982 0.293
0.291 0.018 0.707
0.675 0.511 0.301
0.037 0.622 0.351
0.301 0.277 0.148
0.130 0.940 0.304
0.689 0.444 0.964
0.428 0.734 0.447
0.850 0.182 0.101
```

No. 6
The following is a SCAN calculation of LiHgW3 at its PBEsol-relaxed geometry, from the Alexandria database.

formation energy from the elements	1.606	eV/atom
DOS(E_F)	2.94	states/eV per cell
E_tot	-271.59	eV for the cell shown

Structure (POSCAR):
```
LiHgW3
1.0
4.241 0.000 0.000
0.000 4.241 0.000
0.000 0.000 4.241
Hg W Li
1 3 1
Direct
0.500 0.500 0.500
0.000 0.500 0.000
0.000 0.000 0.500
0.500 0.000 0.000
0.000 0.000 0.000
```

No. 7
The following is a SCAN calculation of Zr3ZnBi at its PBEsol-relaxed geometry, from the Alexandria database.

formation energy from the elements	1.080	eV/atom
DOS(E_F)	5.19	states/eV per cell
E_tot	-178.79	eV for the cell shown

Structure (POSCAR):
```
Zr3ZnBi
1.0
-0.702 3.633 -3.819
-5.067 -1.525 -0.520
-1.451 3.570 3.664
Zn Bi Zr
1 1 3
Direct
0.500 0.500 0.500
0.000 0.000 0.000
0.000 0.500 0.000
0.000 0.000 0.500
0.500 0.000 0.000
```

No. 8
The following is a SCAN calculation of BiIO4 at its PBEsol-relaxed geometry, from the Alexandria database.

DOS(E_F)	0.00	states/eV per cell
E_form (uncorrected)	-773	meV/atom
E_tot	-579.53	eV for the cell shown

Structure (POSCAR):
```
BiIO4
1.0
-0.861 4.749 2.800
1.888 -2.455 4.745
10.236 3.261 -2.385
Bi I O
4 4 16
Direct
0.512 0.691 0.888
0.488 0.191 0.112
0.988 0.191 0.888
0.012 0.691 0.112
0.001 0.664 0.630
0.999 0.164 0.370
0.499 0.164 0.630
0.501 0.664 0.370
0.757 0.931 0.001
0.243 0.431 0.999
0.743 0.431 0.001
0.257 0.931 0.999
0.881 0.577 0.780
0.119 0.077 0.220
0.619 0.077 0.780
0.381 0.577 0.220
0.160 0.918 0.702
0.840 0.418 0.298
0.340 0.418 0.702
0.660 0.918 0.298
0.742 0.830 0.565
0.258 0.330 0.435
0.758 0.330 0.565
0.242 0.830 0.435
```

No. 9
The following is a SCAN calculation of ScAg3 at its PBEsol-relaxed geometry, from the Alexandria database.

formation energy from the elements	-0.061	eV/atom
DOS(E_F)	2.21	states/eV per cell
E_tot	-108.58	eV for the cell shown

Structure (POSCAR):
```
ScAg3
1.0
-0.059 -2.907 0.813
1.368 -1.308 -4.575
4.165 0.642 2.598
Ag Sc
3 1
Direct
0.000 0.000 0.000
0.500 0.000 0.500
0.500 0.500 0.000
0.000 0.500 0.500
```

No. 10
The following is a SCAN calculation of Al4AgAs at its PBEsol-relaxed geometry, from the Alexandria database.

formation energy from the elements	0.277	eV/atom
DOS(E_F)	2.76	states/eV per cell
E_tot	-80.90	eV for the cell shown

Structure (POSCAR):
```
Al4AgAs
1.0
5.303 0.000 0.000
2.652 4.593 0.000
2.652 1.531 4.330
As Al Ag
1 4 1
Direct
0.250 0.250 0.250
0.625 0.625 0.124
0.124 0.625 0.625
0.625 0.124 0.625
0.625 0.625 0.625
0.000 0.000 0.000
```

No. 11
The following is a SCAN calculation of Er2GaCu at its PBEsol-relaxed geometry, from the Alexandria database.

formation energy from the elements	-0.502	eV/atom
DOS(E_F)	2.40	states/eV per cell
E_tot	-134.24	eV for the cell shown

Structure (POSCAR):
```
Er2GaCu
1.0
3.377 0.000 0.000
0.000 3.377 0.000
0.000 0.000 7.075
Ga Cu Er
1 1 2
Direct
0.500 0.500 0.500
0.500 0.500 0.000
0.000 0.000 0.760
0.000 0.000 0.240
```

No. 12
The following is a SCAN calculation of LiTlGe2I at its PBEsol-relaxed geometry, from the Alexandria database.

DOS(E_F)	2.83	states/eV per cell
E_form (uncorrected)	371	meV/atom
E_tot	-147.81	eV for the cell shown

Structure (POSCAR):
```
LiTlGe2I
1.0
4.769 0.000 0.000
0.000 4.769 0.000
0.000 0.000 5.573
I Tl Ge Li
1 1 2 1
Direct
0.000 0.000 0.500
0.500 0.500 0.500
0.000 0.500 0.000
0.500 0.000 0.000
0.000 0.000 0.000
```

No. 13
The following is a SCAN calculation of ZnSn3Pb at its PBEsol-relaxed geometry, from the Alexandria database.

energy above the most stable polymorph in this dataset	0.615	eV/atom
formation energy from the elements	0.981	eV/atom
DOS(E_F)	4.13	states/eV per cell
E_tot	-192.15	eV for the cell shown

Structure (POSCAR):
```
ZnSn3Pb
1.0
-3.652 3.398 -2.810
-2.983 0.783 4.824
3.247 4.541 1.271
Pb Zn Sn
1 1 3
Direct
0.000 0.000 0.000
0.500 0.500 0.500
0.000 0.500 0.000
0.000 0.000 0.500
0.500 0.000 0.000
```

No. 14
The following is a SCAN calculation of Cd2CoAg at its PBEsol-relaxed geometry, from the Alexandria database.

formation energy from the elements	0.149	eV/atom
DOS(E_F)	1.51	states/eV per cell
E_tot	-108.91	eV for the cell shown

Structure (POSCAR):
```
Cd2CoAg
1.0
3.660 0.000 0.000
0.000 4.217 0.000
0.000 0.000 4.217
Co Ag Cd
1 1 2
Direct
0.500 0.500 0.500
0.500 0.000 0.000
0.000 0.000 0.500
0.000 0.500 0.000
```

No. 15
The following is a SCAN calculation of La4P at its PBEsol-relaxed geometry, from the Alexandria database.

formation energy from the elements	-0.095	eV/atom
DOS(E_F)	5.47	states/eV per cell
E_tot	-183.30	eV for the cell shown

Structure (POSCAR):
```
La4P
1.0
3.986 0.000 0.000
0.000 3.986 0.000
-1.993 -1.993 9.747
La P
4 1
Direct
0.750 0.250 0.500
0.250 0.750 0.500
0.578 0.578 0.155
0.422 0.422 0.845
0.000 0.000 0.000
```

No. 16
The following is a SCAN calculation of Co6SbMo at its PBEsol-relaxed geometry, from the Alexandria database.

DOS(E_F)	20.40	states/eV per cell
E_form (uncorrected)	231	meV/atom
E_tot	-696.49	eV for the cell shown

Structure (POSCAR):
```
Co6SbMo
1.0
-4.520 -1.633 3.933
1.060 -4.645 -3.984
6.921 -3.866 6.349
Co Mo Sb
24 4 4
Direct
0.245 0.755 0.743
0.879 0.634 0.871
0.121 0.366 0.871
0.755 0.245 0.743
0.366 0.121 0.871
0.634 0.879 0.871
0.500 0.500 0.500
0.117 0.372 0.621
0.372 0.117 0.621
0.245 0.755 0.257
0.883 0.628 0.379
0.117 0.372 0.379
0.755 0.245 0.257
0.372 0.117 0.379
0.628 0.883 0.379
0.500 0.500 0.000
0.121 0.366 0.129
0.366 0.121 0.129
0.000 0.000 0.500
0.628 0.883 0.621
0.883 0.628 0.621
0.000 0.000 0.000
0.634 0.879 0.129
0.879 0.634 0.129
0.246 0.754 0.500
0.754 0.246 0.500
0.000 0.000 0.749
0.000 0.000 0.251
0.250 0.750 0.000
0.750 0.250 0.000
0.500 0.500 0.748
0.500 0.500 0.252
```

No. 17
The following is a SCAN calculation of Cd2AgRh at its PBEsol-relaxed geometry, from the Alexandria database.

energy above the most stable polymorph in this dataset	0.088	eV/atom
formation energy from the elements	-0.039	eV/atom
DOS(E_F)	1.40	states/eV per cell
E_tot	-126.12	eV for the cell shown

Structure (POSCAR):
```
Cd2AgRh
1.0
-1.635 1.073 2.494
-3.865 -0.266 -2.420
2.124 -4.807 1.446
Rh Ag Cd
1 1 2
Direct
0.499 0.499 0.999
0.244 0.744 0.488
0.997 0.997 0.995
0.759 0.259 0.518
```

No. 18
The following is a SCAN calculation of Nb3HW at its PBEsol-relaxed geometry, from the Alexandria database.

DOS(E_F)	5.25	states/eV per cell
E_tot	-171.26	eV for the cell shown

Structure (POSCAR):
```
Nb3HW
1.0
-0.037 2.203 -3.537
2.842 -2.573 -1.632
-3.046 -2.427 -1.480
H Nb W
1 3 1
Direct
0.000 0.000 0.000
0.000 0.500 0.000
0.000 0.000 0.500
0.500 0.000 0.000
0.500 0.500 0.500
```

No. 19
The following is a SCAN calculation of Ho2Fe17C3 at its PBEsol-relaxed geometry, from the Alexandria database.

energy above the most stable polymorph in this dataset	0.004	eV/atom
formation energy from the elements	-0.082	eV/atom
DOS(E_F)	11.77	states/eV per cell
E_tot	-438.28	eV for the cell shown

Structure (POSCAR):
```
Ho2Fe17C3
1.0
6.356 0.014 0.012
0.744 6.313 0.012
0.744 0.663 6.278
Ho Fe C
2 17 3
Direct
0.657 0.657 0.657
0.343 0.343 0.343
0.000 0.500 0.000
0.000 0.000 0.500
0.500 0.000 0.000
0.283 0.000 0.717
0.717 0.283 0.000
0.000 0.717 0.283
0.283 0.717 0.000
0.000 0.283 0.717
0.717 0.000 0.283
0.853 0.345 0.345
0.345 0.853 0.345
0.345 0.345 0.853
0.147 0.655 0.655
0.655 0.147 0.655
0.655 0.655 0.147
0.904 0.904 0.904
0.096 0.096 0.096
0.500 0.000 0.500
0.500 0.500 0.000
0.000 0.500 0.500
```

No. 20
The following is a SCAN calculation of K2MgFeAs at its PBEsol-relaxed geometry, from the Alexandria database.

formation energy from the elements	0.617	eV/atom
DOS(E_F)	6.20	states/eV per cell
E_tot	-56.86	eV for the cell shown

Structure (POSCAR):
```
K2MgFeAs
1.0
4.682 0.000 0.000
0.000 6.638 0.000
0.000 0.000 6.638
K As Mg Fe
2 1 1 1
Direct
0.000 0.000 0.500
0.000 0.500 0.000
0.500 0.000 0.000
0.000 0.000 0.000
0.500 0.500 0.500
```

No. 21
The following is a SCAN calculation of NbAgSb2I at its PBEsol-relaxed geometry, from the Alexandria database.

DOS(E_F)	4.52	states/eV per cell
E_form (uncorrected)	1106	meV/atom
E_tot	-170.23	eV for the cell shown

Structure (POSCAR):
```
NbAgSb2I
1.0
-2.116 -3.006 -3.642
-3.038 -2.189 3.572
-3.803 3.785 -0.915
I Sb Nb Ag
1 2 1 1
Direct
0.000 0.000 0.500
0.000 0.500 0.000
0.500 0.000 0.000
0.500 0.500 0.500
0.000 0.000 0.000
```

No. 22
The following is a SCAN calculation of NaRuBr3 at its PBEsol-relaxed geometry, from the Alexandria database.

DOS(E_F)	4.82	states/eV per cell
E_form (uncorrected)	291	meV/atom
E_tot	-95.97	eV for the cell shown

Structure (POSCAR):
```
NaRuBr3
1.0
-5.102 0.673 0.182
0.083 -0.748 5.094
0.692 5.050 0.730
Ru Br Na
1 3 1
Direct
0.500 0.500 0.500
0.000 0.500 0.000
0.000 0.000 0.500
0.500 0.000 0.000
0.000 0.000 0.000
```

No. 23
The following is a SCAN calculation of K2Sr2Mg at its PBEsol-relaxed geometry, from the Alexandria database.

formation energy from the elements	0.297	eV/atom
DOS(E_F)	4.87	states/eV per cell
E_tot	-64.70	eV for the cell shown

Structure (POSCAR):
```
K2Sr2Mg
1.0
4.804 0.000 0.000
0.000 4.804 0.000
-2.402 -2.402 11.183
Sr K Mg
2 2 1
Direct
0.416 0.416 0.833
0.584 0.584 0.167
0.250 0.750 0.500
0.750 0.250 0.500
0.000 0.000 0.000
```

No. 24
The following is a SCAN calculation of BeAgSb at its PBEsol-relaxed geometry, from the Alexandria database.

DOS(E_F)	1.10	states/eV per cell
E_form (uncorrected)	373	meV/atom
E_tot	-71.86	eV for the cell shown

Structure (POSCAR):
```
BeAgSb
1.0
-1.968 0.623 2.217
-1.444 -2.606 -0.549
5.120 -1.699 2.952
Sb Ag Be
1 1 1
Direct
0.316 0.316 0.632
0.038 0.038 0.076
0.646 0.646 0.292
```